Density functional theory data (PBEsol) for a relaxed KCuBr crystal.

abc: 4.6322 4.6322 4.3526
angles: 90.00 90.00 120.00
With the nearest neighbours (Å) after each atom.
Space group P-6m2 (No. 187)
Symmetry-distinct sites (fractional):
K: 0.0000 0.0000 0.0000 [1 per cell]  6 Cu 3.45, 6 Br 3.45
Cu: 0.6667 0.3333 0.5000 [1 per cell]  3 Br 2.67
Br: 0.3333 0.6667 0.5000 [1 per cell]  3 Cu 2.67

Results
Crystal system: hexagonal
Total DFT energy (no corrections): -8.0 eV/f.u.

***

Density functional theory data (PBEsol) for a relaxed CrSiMo2 crystal.

abc: 2.7831 2.7831 24.7791
angles: 90.00 90.00 120.00
With the nearest neighbours (Å) after each atom.
Space group R-3m (No. 166, hexagonal axes)
Symmetry-distinct sites (fractional):
Cr: 0.0000 0.0000 0.0000 [3 per cell]  6 Mo 2.59, 6 Cr 2.78
Si: 0.0000 0.0000 0.5000 [3 per cell]  6 Mo 2.64, 6 Si 2.78
Mo: 0.0000 0.0000 0.2514 [6 per cell]  3 Cr 2.59, 3 Si 2.64, 6 Mo 2.78

Results
Crystal system: trigonal
Total DFT energy (no corrections): -38.7 eV/f.u.

***

Density functional theory data (PBEsol) for a relaxed CdRu2W crystal.

abc: 2.7629 4.0390 5.4612
angles: 90.00 90.00 90.00
With the nearest neighbours (Å) after each atom.
Space group Pmm2 (No. 25)
Symmetry-distinct sites (fractional):
Cd: 0.0000 0.0000 0.0000 [1 per cell]  6 Ru 2.73-2.81, 2 Cd 2.76, 4 W 2.93
Ru: 0.0000 0.0000 0.4992 [1 per cell]  4 W 2.69, 2 Cd 2.73, 6 Ru 2.76-2.79
Ru: 0.5000 0.5000 0.2538 [1 per cell]  1 W 2.46
W: 0.5000 0.5000 0.7033 [1 per cell]  5 Ru 2.46-2.69

Results
Crystal system: orthorhombic
Formation energy from the elements: 0.367 eV per atom

***

Density functional theory data (PBEsol) for a relaxed TaCl crystal.

abc: 5.1976 3.2218 9.0869
angles: 90.00 94.76 90.00
With the nearest neighbours (Å) after each atom.
Space group C2/m (No. 12)
Symmetry-distinct sites (fractional):
Ta: 0.2113 0.0000 0.3743 [4 per cell]  3 Cl 2.48-2.52
Cl: 0.1556 0.0000 0.8181 [4 per cell]  3 Ta 2.48-2.52

Results
Crystal system: monoclinic
Total DFT energy (no corrections): -16.1 eV/f.u.